Zr3Zn3N: relaxed, GGA-PBEsol.

Calculated values
crystal system	cubic
symmetry	Fd-3m (227)
size of the total moment	0.00	μB/f.u.
raw total energy	-6.638	eV/atom

Cell lengths 8.482, 8.482, 8.482 Å; angles 60.00, 60.00, 60.00 degrees
Sites, in units of the cell vectors:
1 Zn 0.241 0.920 0.920
2 Zr 0.937 0.563 0.937
3 Zr 0.687 0.313 0.687
4 Zn 0.330 0.330 0.330
5 Zn 0.330 0.009 0.330
6 Zn 0.330 0.330 0.009
7 Zn 0.920 0.920 0.920
8 N 0.625 0.625 0.125
9 N 0.625 0.625 0.625
10 Zr 0.687 0.687 0.313
11 Zr 0.687 0.313 0.313
12 Zr 0.937 0.563 0.563
13 Zr 0.937 0.937 0.563
14 Zr 0.313 0.687 0.687
15 Zn 0.625 0.125 0.125
16 Zr 0.563 0.937 0.563
17 Zr 0.313 0.687 0.313
18 Zr 0.313 0.313 0.687
19 Zn 0.125 0.125 0.625
20 Zn 0.920 0.241 0.920
21 N 0.125 0.625 0.625
22 Zn 0.009 0.330 0.330
23 Zn 0.125 0.125 0.125
24 Zr 0.563 0.563 0.937
25 N 0.625 0.125 0.625
26 Zn 0.920 0.920 0.241
27 Zn 0.125 0.625 0.125
28 Zr 0.563 0.937 0.937



ZrZn4N4: relaxed, GGA-PBEsol.

Calculated values
crystal system	triclinic
symmetry	P-1 (2)
size of the total moment	0.00	μB/f.u.
raw total energy	-5.870	eV/atom

Cell lengths 5.483, 5.549, 8.163 Å; angles 75.84, 76.12, 65.15 degrees
Sites, in units of the cell vectors:
1 N 0.423 0.481 0.196
2 Zn 0.331 0.151 0.213
3 Zr 0.771 0.549 0.192
4 N 0.577 0.519 0.804
5 Zr 0.229 0.451 0.808
6 N 0.595 0.847 0.351
7 Zn 0.233 0.975 0.555
8 Zn 0.669 0.849 0.787
9 Zn 0.784 0.191 0.947
10 Zn 0.732 0.523 0.559
11 Zn 0.268 0.477 0.441
12 N 0.964 0.275 0.399
13 N 0.896 0.795 0.967
14 N 0.405 0.153 0.649
15 Zn 0.216 0.809 0.053
16 Zn 0.767 0.025 0.445
17 N 0.036 0.725 0.601
18 N 0.104 0.205 0.033



Zr3ZnN: relaxed, GGA-PBEsol.

Calculated values
crystal system	orthorhombic
symmetry	Cmcm (63)
size of the total moment	0.00	μB/f.u.
raw total energy	-8.484	eV/atom

Cell lengths 3.314, 5.938, 8.820 Å; angles 90.00, 90.00, 106.20 degrees
Sites, in units of the cell vectors:
1 Zr 0.626 0.252 0.049
2 N 0.000 0.000 0.000
3 Zn 0.256 0.512 0.250
4 Zr 0.951 0.902 0.250
5 N 0.000 0.000 0.500
6 Zr 0.626 0.252 0.451
7 Zr 0.049 0.098 0.750
8 Zn 0.744 0.488 0.750
9 Zr 0.374 0.748 0.951
10 Zr 0.374 0.748 0.549



ZrN: relaxed, GGA-PBEsol.

Calculated values
crystal system	hexagonal
symmetry	P6_3/mmc (194)
size of the total moment	0.00	μB/f.u.
raw total energy	-10.404	eV/atom

Cell lengths 3.168, 3.168, 5.652 Å; angles 90.00, 90.00, 120.00 degrees
Sites, in units of the cell vectors:
1 N 0.333 0.667 0.250
2 Zr 0.000 0.000 0.000
3 Zr 0.000 0.000 0.500
4 N 0.667 0.333 0.750



ZrN: relaxed, GGA-PBEsol.

Calculated values
crystal system	cubic
symmetry	Pm-3m (221)
size of the total moment	0.00	μB/f.u.
raw total energy	-9.888	eV/atom

Cell lengths 2.808, 2.808, 2.808 Å; angles 90.00, 90.00, 90.00 degrees
Sites, in units of the cell vectors:
1 N 0.500 0.500 0.500
2 Zr 0.000 0.000 0.000



ZrN: relaxed, GGA-PBEsol.

Calculated values
crystal system	hexagonal
symmetry	P6_3/mmc (194)
size of the total moment	0.00	μB/f.u.
raw total energy	-10.730	eV/atom

Cell lengths 3.164, 3.164, 5.442 Å; angles 90.00, 90.00, 120.00 degrees
Sites, in units of the cell vectors:
1 N 0.000 0.000 0.500
2 N 0.000 0.000 0.000
3 Zr 0.333 0.667 0.250
4 Zr 0.667 0.333 0.750



Na: relaxed, GGA-PBEsol.

Calculated values
crystal system	cubic
symmetry	Im-3m (229)
size of the total moment	0.00	μB/f.u.
raw total energy	-1.400	eV/atom

Cell lengths 3.613, 3.613, 3.613 Å; angles 109.47, 109.47, 109.47 degrees
Sites, in units of the cell vectors:
1 Na 0.000 0.000 0.000



Na: relaxed, GGA-PBEsol.

Calculated values
crystal system	orthorhombic
symmetry	Pnma (62)
size of the total moment	0.00	μB/f.u.
raw total energy	-1.360	eV/atom

Cell lengths 3.603, 9.181, 9.073 Å; angles 90.00, 90.00, 90.00 degrees
Sites, in units of the cell vectors:
1 Na 0.750 0.494 0.681
2 Na 0.750 0.994 0.819
3 Na 0.250 0.181 0.522
4 Na 0.250 0.506 0.319
5 Na 0.750 0.819 0.478
6 Na 0.250 0.006 0.181
7 Na 0.750 0.319 0.022
8 Na 0.250 0.681 0.978



Na: relaxed, GGA-PBEsol.

Calculated values
crystal system	cubic
symmetry	Fd-3m (227)
size of the total moment	0.00	μB/f.u.
raw total energy	-1.046	eV/atom

Cell lengths 5.278, 5.278, 5.278 Å; angles 60.00, 60.00, 60.00 degrees
Sites, in units of the cell vectors:
1 Na 0.000 0.000 0.000
2 Na 0.250 0.250 0.250



Na: relaxed, GGA-PBEsol.

Calculated values
crystal system	hexagonal
symmetry	P6_3/mmc (194)
size of the total moment	0.00	μB/f.u.
raw total energy	-1.400	eV/atom

Cell lengths 3.721, 3.721, 6.032 Å; angles 90.00, 90.00, 120.00 degrees
Sites, in units of the cell vectors:
1 Na 0.667 0.333 0.750
2 Na 0.333 0.667 0.250



Na: relaxed, GGA-PBEsol.

Calculated values
crystal system	cubic
symmetry	I-43m (217)
size of the total moment	0.00	μB/f.u.
raw total energy	-1.387	eV/atom

Cell lengths 11.116, 11.116, 11.116 Å; angles 109.47, 109.47, 109.47 degrees
Sites, in units of the cell vectors:
1 Na 0.722 0.317 0.317
2 Na 0.191 0.375 0.000
3 Na 0.184 0.809 0.809
4 Na 0.317 0.317 0.722
5 Na 0.683 0.000 0.405
6 Na 0.317 0.722 0.317
7 Na 0.683 0.405 0.000
8 Na 0.375 0.000 0.191
9 Na 0.360 0.360 0.360
10 Na 0.191 0.000 0.375
11 Na 0.595 0.278 0.595
12 Na 0.625 0.625 0.816
13 Na 0.278 0.595 0.595
14 Na 0.405 0.683 0.000
15 Na 0.000 0.000 0.640
16 Na 0.000 0.375 0.191
17 Na 0.000 0.191 0.375
18 Na 0.375 0.191 0.000
19 Na 0.640 0.000 0.000
20 Na 0.405 0.000 0.683
21 Na 0.625 0.816 0.625
22 Na 0.816 0.625 0.625
23 Na 0.809 0.809 0.184
24 Na 0.595 0.595 0.278
25 Na 0.809 0.184 0.809
26 Na 0.000 0.640 0.000
27 Na 0.000 0.683 0.405
28 Na 0.000 0.000 0.000
29 Na 0.000 0.405 0.683



Na: relaxed, GGA-PBEsol.

Calculated values
crystal system	cubic
symmetry	Fm-3m (225)
size of the total moment	0.00	μB/f.u.
raw total energy	-1.400	eV/atom

Cell lengths 3.717, 3.717, 3.717 Å; angles 60.00, 60.00, 60.00 degrees
Sites, in units of the cell vectors:
1 Na 0.000 0.000 0.000



Na: relaxed, GGA-PBEsol.

Calculated values
crystal system	tetragonal
symmetry	I4_1/amd (141)
size of the total moment	0.00	μB/f.u.
raw total energy	-1.325	eV/atom

Cell lengths 3.516, 4.944, 4.944 Å; angles 82.74, 69.17, 69.17 degrees
Sites, in units of the cell vectors:
1 Na 0.750 0.500 0.500
2 Na 0.000 0.000 0.000



Na: relaxed, GGA-PBEsol.

Calculated values
crystal system	orthorhombic
symmetry	Fmmm (69)
size of the total moment	0.00	μB/f.u.
raw total energy	-1.363	eV/atom

Cell lengths 3.588, 3.588, 6.701 Å; angles 98.47, 98.47, 116.74 degrees
Sites, in units of the cell vectors:
1 Na 0.132 0.132 0.264
2 Na 0.868 0.868 0.736



Na: relaxed, GGA-PBEsol.

Calculated values
crystal system	cubic
symmetry	P4_132 (213)
size of the total moment	0.00	μB/f.u.
raw total energy	-1.387	eV/atom

Cell lengths 9.031, 9.031, 9.031 Å; angles 90.00, 90.00, 90.00 degrees
Sites, in units of the cell vectors:
1 Na 0.938 0.562 0.438
2 Na 0.625 0.297 0.547
3 Na 0.375 0.797 0.953
4 Na 0.703 0.047 0.875
5 Na 0.812 0.312 0.188
6 Na 0.797 0.953 0.375
7 Na 0.062 0.062 0.062
8 Na 0.125 0.203 0.453
9 Na 0.562 0.438 0.938
10 Na 0.312 0.188 0.812
11 Na 0.453 0.125 0.203
12 Na 0.875 0.703 0.047
13 Na 0.547 0.625 0.297
14 Na 0.203 0.453 0.125
15 Na 0.188 0.812 0.312
16 Na 0.047 0.875 0.703
17 Na 0.297 0.547 0.625
18 Na 0.953 0.375 0.797
19 Na 0.688 0.688 0.688
20 Na 0.438 0.938 0.562



Na: relaxed, GGA-PBEsol.

Calculated values
crystal system	cubic
symmetry	Pm-3n (223)
size of the total moment	0.00	μB/f.u.
raw total energy	-1.385	eV/atom

Cell lengths 6.629, 6.629, 6.629 Å; angles 90.00, 90.00, 90.00 degrees
Sites, in units of the cell vectors:
1 Na 0.750 0.000 0.500
2 Na 0.500 0.500 0.500
3 Na 0.250 0.000 0.500
4 Na 0.000 0.500 0.750
5 Na 0.000 0.000 0.000
6 Na 0.000 0.500 0.250
7 Na 0.500 0.750 0.000
8 Na 0.500 0.250 0.000



Na3NdTi2Nb2O12: relaxed, GGA-PBEsol.

Calculated values
crystal system	triclinic
symmetry	P1 (1)
size of the total moment	0.00	μB/f.u.
raw total energy	-8.264	eV/atom

Cell lengths 5.452, 5.521, 7.762 Å; angles 89.99, 89.95, 89.92 degrees
Sites, in units of the cell vectors:
1 Na 0.997 0.001 0.751
2 O 0.720 0.729 0.452
3 O 0.931 0.505 0.745
4 O 0.793 0.219 0.461
5 Nd 0.993 0.954 0.250
6 Nb 0.007 0.484 0.988
7 O 0.286 0.299 0.533
8 O 0.718 0.732 0.048
9 O 0.199 0.801 0.520
10 O 0.067 0.517 0.252
11 O 0.425 0.029 0.247
12 Na 0.503 0.512 0.748
13 O 0.560 0.981 0.754
14 O 0.790 0.214 0.039
15 O 0.204 0.805 0.982
16 Ti 0.496 0.985 0.005
17 Ti 0.009 0.483 0.498
18 Nb 0.498 0.992 0.511
19 Na 0.510 0.465 0.250
20 O 0.293 0.293 0.963



Na2NbNiP: relaxed, GGA-PBEsol.

Calculated values
crystal system	tetragonal
symmetry	P4/mmm (123)
size of the total moment	1.75	μB/f.u.
raw total energy	-3.439	eV/atom

Cell lengths 4.399, 5.591, 5.591 Å; angles 90.00, 90.00, 90.00 degrees
Sites, in units of the cell vectors:
1 Na 0.000 0.000 0.500
2 Nb 0.000 0.000 0.000
3 Na 0.000 0.500 0.000
4 Ni 0.500 0.000 0.000
5 P 0.500 0.500 0.500



NaNbNi2Pd: relaxed, GGA-PBEsol.

Calculated values
crystal system	tetragonal
symmetry	P4/mmm (123)
size of the total moment	2.66	μB/f.u.
raw total energy	-4.893	eV/atom

Cell lengths 4.693, 4.678, 4.678 Å; angles 90.00, 90.00, 90.00 degrees
Sites, in units of the cell vectors:
1 Ni 0.000 0.000 0.500
2 Ni 0.000 0.500 0.000
3 Pd 0.000 0.000 0.000
4 Nb 0.500 0.000 0.000
5 Na 0.500 0.500 0.500



Na12NbO7: relaxed, GGA-PBEsol.

Calculated values
crystal system	trigonal
symmetry	R-3 (148)
size of the total moment	0.00	μB/f.u.
raw total energy	-4.541	eV/atom

Cell lengths 7.431, 7.431, 7.431 Å; angles 106.11, 106.11, 106.11 degrees
Sites, in units of the cell vectors:
1 Na 0.430 0.367 0.166
2 O 0.982 0.905 0.705
3 Na 0.931 0.795 0.324
4 Na 0.633 0.834 0.570
5 O 0.095 0.295 0.018
6 Nb 0.000 0.000 0.000
7 O 0.500 0.500 0.500
8 Na 0.570 0.633 0.834
9 Na 0.834 0.570 0.633
10 O 0.295 0.018 0.095
11 O 0.905 0.705 0.982
12 O 0.705 0.982 0.905
13 Na 0.205 0.676 0.069
14 Na 0.324 0.931 0.795
15 Na 0.795 0.324 0.931
16 Na 0.166 0.430 0.367
17 Na 0.069 0.205 0.676
18 Na 0.676 0.069 0.205
19 Na 0.367 0.166 0.430
20 O 0.018 0.095 0.295



Na8NbO6: relaxed, GGA-PBEsol.

Calculated values
crystal system	hexagonal
symmetry	P6_3cm (185)
size of the total moment	0.00	μB/f.u.
raw total energy	-5.125	eV/atom

Cell lengths 6.444, 6.444, 13.163 Å; angles 90.00, 90.00, 120.00 degrees
Sites, in units of the cell vectors:
1 Na 0.303 0.000 0.730
2 Nb 0.000 0.000 0.009
3 O 0.667 0.333 0.276
4 Na 0.000 0.303 0.730
5 O 0.333 0.667 0.276
6 Na 0.598 0.000 0.873
7 O 0.282 0.000 0.548
8 O 0.000 0.282 0.548
9 Na 0.000 0.697 0.230
10 Nb 0.000 0.000 0.509
11 Na 0.000 0.598 0.873
12 Na 0.333 0.667 0.591
13 O 0.000 0.000 0.865
14 Na 0.667 0.333 0.591
15 O 0.333 0.667 0.776
16 Na 0.697 0.000 0.230
17 Na 0.697 0.697 0.730
18 O 0.000 0.000 0.365
19 Na 0.598 0.598 0.373
20 Na 0.402 0.000 0.373
21 Na 0.402 0.402 0.873
22 O 0.718 0.000 0.048
23 Na 0.333 0.667 0.091
24 O 0.282 0.282 0.048
25 Na 0.000 0.402 0.373
26 Na 0.303 0.303 0.230
27 O 0.718 0.718 0.548
28 O 0.667 0.333 0.776
29 O 0.000 0.718 0.048
30 Na 0.667 0.333 0.091